# 1
! BaMn2Re | Alexandria via LeMat-Bulk | GGA-PBE | optimized geometry; values from VASP
! energy above the most stable polymorph in this dataset: 847 meV/atom
! space-group type: Pmmm (47)
&SYSTEM
  ibrav = 0, nat = 4, ntyp = 3
/
ATOMIC_SPECIES
Ba 137.33 Ba.upf
Mn 54.94 Mn.upf
Re 186.21 Re.upf
CELL_PARAMETERS angstrom
3.238 0.000 0.000
0.000 5.149 0.000
0.000 0.000 4.842
ATOMIC_POSITIONS crystal
Ba 0.000 0.500 0.500
Mn 0.000 0.000 0.000
Mn 0.500 0.500 0.000
Re 0.500 0.000 0.500

***

# 2
! BaMn2Re | Alexandria via LeMat-Bulk | GGA-PBE | optimized geometry; values from VASP
! energy above the most stable polymorph in this dataset: 879 meV/atom
! space-group type: I-4m2 (119)
&SYSTEM
  ibrav = 0, nat = 4, ntyp = 3
/
ATOMIC_SPECIES
Ba 137.33 Ba.upf
Mn 54.94 Mn.upf
Re 186.21 Re.upf
CELL_PARAMETERS angstrom
5.356 0.094 0.000
1.861 5.023 0.000
-3.609 -2.559 3.021
ATOMIC_POSITIONS crystal
Ba 0.750 0.250 0.500
Mn 0.000 0.000 0.000
Mn 0.250 0.750 0.500
Re 0.500 0.500 0.000

***

# 3
! BaMn2Re | Alexandria via LeMat-Bulk | GGA-PBE | optimized geometry; values from VASP
! energy above the most stable polymorph in this dataset: 62 meV/atom
! space-group type: R3m (160)
&SYSTEM
  ibrav = 0, nat = 4, ntyp = 3
/
ATOMIC_SPECIES
Ba 137.33 Ba.upf
Mn 54.94 Mn.upf
Re 186.21 Re.upf
CELL_PARAMETERS angstrom
-2.567 -3.148 -0.677
1.456 -3.850 -0.146
-1.261 -2.894 5.736
ATOMIC_POSITIONS crystal
Ba 0.251 0.251 0.246
Mn 0.066 0.066 0.802
Mn 0.738 0.738 0.787
Re 0.445 0.445 0.665

***

# 4
! BaMn2Re | Alexandria via LeMat-Bulk | GGA-PBE | optimized geometry; values from VASP
! energy above the most stable polymorph in this dataset: 697 meV/atom
! space-group type: Cmmm (65)
&SYSTEM
  ibrav = 0, nat = 4, ntyp = 3
/
ATOMIC_SPECIES
Ba 137.33 Ba.upf
Mn 54.94 Mn.upf
Re 186.21 Re.upf
CELL_PARAMETERS angstrom
5.069 -0.022 0.000
-1.408 4.870 0.000
0.000 0.000 3.104
ATOMIC_POSITIONS crystal
Ba 0.000 0.500 0.500
Mn 0.000 0.000 0.000
Mn 0.500 0.500 0.000
Re 0.500 0.000 0.500

***

# 5
! BaMnRe | Alexandria via LeMat-Bulk | GGA-PBE | optimized geometry; values from VASP
! energy above the most stable polymorph in this dataset: 0 meV/atom
! space-group type: I4mm (107)
&SYSTEM
  ibrav = 0, nat = 3, ntyp = 3
/
ATOMIC_SPECIES
Ba 137.33 Ba.upf
Mn 54.94 Mn.upf
Re 186.21 Re.upf
CELL_PARAMETERS angstrom
-2.407 0.082 -6.253
-5.045 -0.333 -4.397
-0.831 3.107 -0.485
ATOMIC_POSITIONS crystal
Ba 0.000 0.000 0.000
Mn 0.283 0.283 0.717
Re 0.716 0.716 0.284

***

# 6
! BaMn2ReRh | Alexandria via LeMat-Bulk | GGA-PBE | optimized geometry; values from VASP
! space-group type: P4/mmm (123)
&SYSTEM
  ibrav = 0, nat = 5, ntyp = 4
/
ATOMIC_SPECIES
Re 186.21 Re.upf
Mn 54.94 Mn.upf
Rh 102.91 Rh.upf
Ba 137.33 Ba.upf
CELL_PARAMETERS angstrom
4.867 0.000 0.000
0.000 4.996 0.000
0.000 0.000 4.867
ATOMIC_POSITIONS crystal
Re 0.000 0.500 0.000
Mn 0.000 0.000 0.500
Mn 0.500 0.000 0.000
Rh 0.500 0.500 0.500
Ba 0.000 0.000 0.000

***

Number 1: calculated formation energy 1.3438 eV/atom. Number 2: calculated formation energy 1.3757 eV/atom. Number 3: calculated formation energy 0.5585 eV/atom. Number 4: calculated formation energy 1.1942 eV/atom. Number 5: calculated formation energy 0.7661 eV/atom. Number 6: calculated formation energy 2.8962 eV/atom.